<A>
Computed, not measured: a geometry-optimized LiCd3Ag4 structure at the PBE level of DFT.

```
8
Lattice="-2.860 4.819 2.802 2.860 -4.819 2.802 2.860 4.819 -2.802" Properties=species:S:1:pos:R:3 pbc="T T T"
Li 0.000 0.000 0.000
Cd 2.860 2.521 1.248
Cd 0.000 2.297 4.050
Cd 0.000 4.819 2.595
Ag 0.000 2.352 1.233
Ag 1.432 4.819 -0.178
Ag 1.428 0.000 2.623
Ag 0.000 7.285 1.233
```

Computed properties:
Space-group type: Imm2
V: 154 Å³/cell
DOS(E_F): 2.70 states/eV/f.u.

---

<B>
Computed, not measured: a geometry-optimized LiCd3Ag4 structure at the PBE level of DFT.

```
8
Lattice="8.321 -2.156 0.000 8.321 2.156 0.000 -1.110 0.000 4.168" Properties=species:S:1:pos:R:3 pbc="T T T"
Li 0.000 0.000 0.000
Cd 3.867 0.000 1.035
Cd 7.766 0.000 2.084
Cd 11.665 0.000 3.132
Ag 1.332 0.000 2.587
Ag 5.325 0.000 3.659
Ag 10.207 0.000 0.508
Ag 14.200 0.000 1.581
```

Computed properties:
Space-group type: C2/m
V: 150 Å³/cell
DOS(E_F): 1.26 states/eV/f.u.

---

Stability summary - winner: <B>; margin: 0.094 eV/atom.